# 1
A geometry-optimized NaGeP structure, computed with PBE.

**DFT total energy**: -3.93 eV per atom
**Formation enthalpy at 0 K**: -0.45 eV per formula unit

a b c (Å): 6.1175 8.7266 6.4318
angles (deg): 90.00 90.00 90.00
Sites, in units of the cell vectors:
Na 0.0000 0.2418 0.8468
P 0.5000 0.6266 0.9012
P 0.0000 0.1266 0.4012
P 0.0000 0.8734 0.4012
Na 0.5000 0.7418 0.3468
Na 0.0000 0.7582 0.8468
P 0.5000 0.3734 0.9012
Ge 0.7198 0.5000 0.6383
Ge 0.2198 0.0000 0.1383
Ge 0.2802 0.5000 0.6383
Ge 0.7802 0.0000 0.1383
Na 0.5000 0.2582 0.3468

# 2
A geometry-optimized TlCuSb structure, computed with PBE.

**Distance to the lowest polymorph of the same formula**: 105 meV per atom
**DFT total energy**: -3.37 eV per atom
**E_form (uncorrected)**: 0.157 eV per atom

a b c (Å): 4.6769 4.6769 4.6769
angles (deg): 60.00 60.00 60.00
Sites, in units of the cell vectors:
Cu 0.7500 0.7500 0.7500
Sb 0.0000 0.0000 0.0000
Tl 0.5000 0.5000 0.5000

# 3
A geometry-optimized Tb2HoZn3 structure, computed with PBE.

**DFT total energy**: -3.28 eV per atom
**Formation enthalpy at 0 K**: -2.03 eV per formula unit

a b c (Å): 3.5769 3.5769 10.7041
angles (deg): 90.00 90.00 90.00
Sites, in units of the cell vectors:
Tb 0.5000 0.5000 0.1674
Zn 0.0000 0.0000 0.0000
Zn 0.0000 0.0000 0.6638
Ho 0.5000 0.5000 0.5000
Tb 0.5000 0.5000 0.8326
Zn 0.0000 0.0000 0.3362

# 4
A geometry-optimized CeHf2Co structure, computed with PBE.

**Distance to the lowest polymorph of the same formula**: 0 meV per atom
**DFT total energy**: -8.34 eV per atom
**Formation enthalpy at 0 K**: -0.41 eV per formula unit

a b c (Å): 3.2010 3.2010 7.9012
angles (deg): 90.00 90.00 90.00
Sites, in units of the cell vectors:
Hf 0.0000 0.0000 0.8101
Ce 0.5000 0.5000 0.5000
Co 0.5000 0.5000 0.0000
Hf 0.0000 0.0000 0.1899

# 5
A geometry-optimized Ca4BiTeN structure, computed with PBE.

**DFT total energy**: -4.51 eV per atom
**E_form (uncorrected)**: -1.176 eV per atom

a b c (Å): 6.8411 6.8471 8.7699
angles (deg): 90.00 112.96 90.00
Sites, in units of the cell vectors:
Ca 0.9022 0.2500 0.8045
Ca 0.0000 0.5000 0.5000
Ca 0.5000 0.5000 0.5000
N 0.2483 0.7500 0.4967
Ca 0.4046 0.7500 0.8092
Bi 0.3944 0.2500 0.7888
Bi 0.6056 0.7500 0.2112
Ca 0.5000 0.0000 0.5000
Ca 0.0978 0.7500 0.1955
N 0.7517 0.2500 0.5033
Ca 0.5954 0.2500 0.1908
Te 0.8932 0.7500 0.7864
Ca 0.0000 0.0000 0.5000
Te 0.1068 0.2500 0.2136

# 6
A geometry-optimized AlIrOs structure, computed with PBE.

**Distance to the lowest polymorph of the same formula**: 0 meV per atom
**DFT total energy**: -8.23 eV per atom
**Formation enthalpy at 0 K**: -0.85 eV per formula unit

a b c (Å): 5.9950 5.9950 5.9950
angles (deg): 153.44 153.44 37.92
Sites, in units of the cell vectors:
Ir 0.3309 0.3309 0.0000
Os 0.6691 0.6691 0.0000
Al 0.0000 0.0000 0.0000

# 7
A geometry-optimized SrLi2SnPd4 structure, computed with PBE.

**DFT total energy**: -4.30 eV per atom
**Formation enthalpy at 0 K**: -4.12 eV per formula unit

a b c (Å): 4.5050 4.5050 8.8418
angles (deg): 75.24 75.24 60.00
Sites, in units of the cell vectors:
Pd 0.1283 0.1283 0.6152
Li 0.2376 0.2376 0.2872
Li 0.7624 0.7624 0.7128
Sr 0.0000 0.0000 0.0000
Sn 0.5000 0.5000 0.5000
Pd 0.6031 0.6031 0.1908
Pd 0.8717 0.8717 0.3848
Pd 0.3969 0.3969 0.8092

# 8
A geometry-optimized SrIn2As structure, computed with PBE.

**DFT total energy**: -3.37 eV per atom
**Formation enthalpy at 0 K**: -1.66 eV per formula unit

a b c (Å): 4.5108 4.5166 5.3698
angles (deg): 90.00 90.00 90.00
Sites, in units of the cell vectors:
In 0.0000 0.0000 0.0000
In 0.5000 0.5000 0.0000
As 0.0000 0.5000 0.5000
Sr 0.5000 0.0000 0.5000

# 9
A geometry-optimized Pm3Zn5Au6 structure, computed with PBE.

**DFT total energy**: -3.44 eV per atom
**Formation enthalpy at 0 K**: -7.91 eV per formula unit

a b c (Å): 4.5648 9.1924 13.4163
angles (deg): 90.00 90.00 90.00
Sites, in units of the cell vectors:
Au 0.5000 0.9424 0.0000
Au 0.5000 0.0377 0.3651
Pm 0.0000 0.2512 0.7018
Pm 0.5000 0.7488 0.2018
Au 0.0000 0.6202 0.6633
Zn 0.0000 0.9004 0.3320
Au 0.0000 0.6202 0.3367
Au 0.0000 0.4242 0.5000
Zn 0.5000 0.0996 0.8320
Pm 0.5000 0.7573 0.5000
Zn 0.0000 0.5316 0.8657
Zn 0.5000 0.4684 0.6343
Au 0.0000 0.9623 0.8651
Au 0.5000 0.3798 0.1633
Au 0.0000 0.9623 0.1349
Zn 0.5000 0.4684 0.3657
Zn 0.5000 0.2553 0.5000
Pm 0.0000 0.2512 0.2982
Au 0.5000 0.3798 0.8367
Au 0.5000 0.0377 0.6349
Zn 0.0000 0.9004 0.6680
Au 0.5000 0.5758 0.0000
Zn 0.0000 0.5316 0.1343
Zn 0.5000 0.0996 0.1680
Pm 0.0000 0.2427 0.0000
Pm 0.5000 0.7488 0.7982
Au 0.0000 0.0576 0.5000
Zn 0.0000 0.7447 0.0000

# 10
A geometry-optimized Pm4MgAg3 structure, computed with PBE.

**Distance to the lowest polymorph of the same formula**: 38 meV per atom
**DFT total energy**: -3.82 eV per atom
**Formation enthalpy at 0 K**: -1.44 eV per formula unit

a b c (Å): 3.6302 4.9069 12.1021
angles (deg): 90.00 90.00 90.00
Sites, in units of the cell vectors:
Mg 0.5000 0.5000 0.0658
Ag 0.0000 0.0000 0.4306
Pm 0.0000 0.5000 0.8362
Pm 0.0000 0.0000 0.1638
Ag 0.5000 0.0000 0.9298
Pm 0.5000 0.0000 0.6482
Pm 0.5000 0.5000 0.3540
Ag 0.0000 0.5000 0.5717

# 11
A geometry-optimized Ac2CeH12Rh3 structure, computed with PBE.

**DFT total energy**: -4.60 eV per atom

a b c (Å): 6.3553 6.3553 6.3553
angles (deg): 64.34 64.34 64.34
Sites, in units of the cell vectors:
H 0.8702 0.8702 0.4193
H 0.1058 0.7187 0.7187
Ac 0.6160 0.6160 0.6160
Ce 0.0000 0.0000 0.0000
Ac 0.3840 0.3840 0.3840
H 0.7187 0.7187 0.1058
H 0.1298 0.5807 0.1298
Rh 0.5000 0.0000 0.0000
H 0.4193 0.8702 0.8702
H 0.2813 0.8942 0.2813
H 0.8702 0.4193 0.8702
H 0.5807 0.1298 0.1298
Rh 0.0000 0.0000 0.5000
H 0.8942 0.2813 0.2813
H 0.7187 0.1058 0.7187
H 0.2813 0.2813 0.8942
Rh 0.0000 0.5000 0.0000
H 0.1298 0.1298 0.5807

# 12
A geometry-optimized Sc4As3S structure, computed with PBE.

**DFT total energy**: -6.95 eV per atom
**E_form (uncorrected)**: -1.526 eV per atom

a b c (Å): 3.8380 6.6401 6.6401
angles (deg): 109.38 90.00 90.00
Sites, in units of the cell vectors:
Sc 0.0000 0.7508 0.7508
Sc 0.5000 0.2493 0.7507
Sc 0.5000 0.7507 0.2493
As 0.0000 0.5000 0.0000
S 0.5000 0.0000 0.0000
Sc 0.0000 0.2492 0.2492
As 0.5000 0.5000 0.5000
As 0.0000 0.0000 0.5000

# 13
A geometry-optimized KPuSn2I8 structure, computed with PBE.

**DFT total energy**: -3.80 eV per atom
**E_form (uncorrected)**: -0.815 eV per atom

a b c (Å): 7.8002 7.4153 9.5573
angles (deg): 89.96 90.00 88.99
Sites, in units of the cell vectors:
I 0.3277 0.2412 0.0003
Pu 0.0000 0.0000 0.0000
I 0.6333 0.7310 0.4999
I 0.3667 0.2690 0.5001
I 0.6723 0.7588 0.9997
I 0.8422 0.2536 0.2252
I 0.1578 0.7464 0.7748
K 0.0000 0.0000 0.5000
Sn 0.5002 0.5000 0.7481
I 0.8428 0.2542 0.7746
Sn 0.4998 0.5000 0.2519
I 0.1572 0.7458 0.2254

# 14
A geometry-optimized Na2SmTmS4 structure, computed with PBE.

**DFT total energy**: -5.37 eV per atom
**E_form (uncorrected)**: -1.831 eV per atom

a b c (Å): 4.0046 6.9379 7.0724
angles (deg): 109.06 90.00 90.00
Sites, in units of the cell vectors:
S 0.0000 0.7508 0.2291
S 0.0000 0.2492 0.7709
Tm 0.0000 0.0000 0.0000
S 0.5000 0.7658 0.7746
Na 0.0000 0.5000 0.5000
S 0.5000 0.2342 0.2254
Na 0.5000 0.0000 0.5000
Sm 0.5000 0.5000 0.0000

# 15
A geometry-optimized HfTaSN2 structure, computed with PBE.

**Distance to the lowest polymorph of the same formula**: 638 meV per atom
**DFT total energy**: -8.05 eV per atom
**E_form (uncorrected)**: 0.468 eV per atom

a b c (Å): 4.0740 4.0740 4.9034
angles (deg): 90.00 90.00 90.00
Sites, in units of the cell vectors:
Ta 0.5000 0.5000 0.5000
N 0.5000 0.0000 0.0000
Hf 0.0000 0.0000 0.0000
S 0.0000 0.0000 0.5000
N 0.0000 0.5000 0.0000

# 16
A geometry-optimized HgPC structure, computed with PBE.

**Distance to the lowest polymorph of the same formula**: 197 meV per atom
**DFT total energy**: -4.29 eV per atom
**Formation enthalpy at 0 K**: 2.07 eV per formula unit

a b c (Å): 2.9457 3.9044 5.2702
angles (deg): 105.46 103.40 94.27
Sites, in units of the cell vectors:
P 0.4186 0.3277 0.2814
Hg 0.2197 0.7375 0.8957
C 0.0047 0.4110 0.4686

# 17
A geometry-optimized TiGa3S structure, computed with PBE.

**Distance to the lowest polymorph of the same formula**: 0 meV per atom
**DFT total energy**: -3.63 eV per atom
**E_form (uncorrected)**: 0.592 eV per atom

a b c (Å): 4.7317 4.7317 4.7317
angles (deg): 90.00 90.00 90.00
Sites, in units of the cell vectors:
Ga 0.5000 0.0000 0.0000
Ti 0.5000 0.5000 0.5000
Ga 0.0000 0.0000 0.5000
S 0.0000 0.0000 0.0000
Ga 0.0000 0.5000 0.0000

# 18
A geometry-optimized BeAl2Cu2 structure, computed with PBE.

**Distance to the lowest polymorph of the same formula**: 172 meV per atom
**DFT total energy**: -3.67 eV per atom
**Formation enthalpy at 0 K**: 1.04 eV per formula unit

a b c (Å): 6.2343 6.2343 3.5982
angles (deg): 90.00 90.00 90.00
Sites, in units of the cell vectors:
Cu 0.6456 0.8544 0.5000
Al 0.8464 0.6536 0.0000
Al 0.3464 0.8464 0.0000
Cu 0.3544 0.1456 0.5000
Al 0.1536 0.3464 0.0000
Cu 0.8544 0.3544 0.5000
Be 0.0000 0.0000 0.0000
Be 0.5000 0.5000 0.0000
Cu 0.1456 0.6456 0.5000
Al 0.6536 0.1536 0.0000

# 19
A geometry-optimized PuUFe2P2 structure, computed with PBE.

**DFT total energy**: -9.67 eV per atom
**Formation enthalpy at 0 K**: -4.63 eV per formula unit

a b c (Å): 3.9213 3.9213 7.3806
angles (deg): 90.00 90.00 120.00
Sites, in units of the cell vectors:
Fe 0.3333 0.6667 0.7284
U 0.0000 0.0000 0.5000
P 0.3333 0.6667 0.2458
Pu 0.0000 0.0000 0.0000
Fe 0.6667 0.3333 0.2716
P 0.6667 0.3333 0.7542

# 20
A geometry-optimized Ta2CrCl structure, computed with PBE.

**Distance to the lowest polymorph of the same formula**: 902 meV per atom
**DFT total energy**: -7.91 eV per atom
**E_form (uncorrected)**: 0.880 eV per atom

a b c (Å): 3.8725 3.8725 10.1635
angles (deg): 79.02 79.02 90.00
Sites, in units of the cell vectors:
Cl 0.5000 0.5000 0.0000
Cr 0.7500 0.2500 0.5000
Ta 0.1197 0.6250 0.2500
Ta 0.6303 0.1250 0.2500
Cr 0.0000 0.0000 0.0000
Ta 0.8750 0.8803 0.7500
Ta 0.3750 0.3697 0.7500
Cl 0.2500 0.7500 0.5000

# 21
A geometry-optimized Ti6Al3H structure, computed with PBE.

**DFT total energy**: -6.35 eV per atom

a b c (Å): 6.4496 5.3953 5.3953
angles (deg): 57.93 82.94 82.94
Sites, in units of the cell vectors:
Ti 0.0876 0.6416 0.6416
Ti 0.6421 0.8549 0.3632
Ti 0.6421 0.3632 0.8549
Al 0.0000 0.0000 0.0000
Ti 0.3579 0.6368 0.1451
Ti 0.3579 0.1451 0.6368
Al 0.2701 0.1594 0.1594
H 0.5000 0.5000 0.5000
Ti 0.9124 0.3584 0.3584
Al 0.7299 0.8406 0.8406

# 22
A geometry-optimized LiAl2H4Pb2O4F6 structure, computed with PBE.

**Distance to the lowest polymorph of the same formula**: 9 meV per atom
**DFT total energy**: -5.39 eV per atom

a b c (Å): 4.9461 7.3548 7.4481
angles (deg): 113.03 97.30 97.11
Sites, in units of the cell vectors:
O 0.0676 0.1593 0.9131
H 0.2557 0.1653 0.8795
Li 0.5002 0.0118 0.5041
F 0.5439 0.1339 0.7948
Al 0.8486 0.3253 0.8364
H 0.6776 0.5083 0.1626
O 0.1473 0.5433 0.8936
O 0.9324 0.8651 0.0945
Al 0.1514 0.6992 0.1712
F 0.1363 0.8334 0.4310
O 0.8527 0.4812 0.1140
F 0.3913 0.5542 0.2454
F 0.6087 0.4702 0.7621
Pb 0.9075 0.7777 0.7461
H 0.3224 0.5161 0.8450
F 0.4562 0.8906 0.2132
Pb 0.0925 0.2466 0.2614
F 0.8634 0.1907 0.5766
H 0.7443 0.8592 0.1281

# 23
A geometry-optimized AlSn2Mo structure, computed with PBE.

**DFT total energy**: -5.03 eV per atom
**Formation enthalpy at 0 K**: 2.45 eV per formula unit

a b c (Å): 7.9012 7.9012 6.2727
angles (deg): 50.96 50.96 90.00
Sites, in units of the cell vectors:
Sn 0.3750 0.3570 0.7500
Sn 0.1070 0.6250 0.2500
Sn 0.6430 0.1250 0.2500
Mo 0.7500 0.2500 0.5000
Sn 0.8750 0.8930 0.7500
Al 0.5000 0.5000 0.0000
Al 0.2500 0.7500 0.5000
Mo 0.0000 0.0000 0.0000